No. 1
Entry from Alexandria via LeMat-Bulk: a crystal of Na2MnBSO7 relaxed with PBEsol (meta-GGA SCAN).

Summary:
Formation energy without anion corrections ... -2.066 eV/atom
Electronic total energy ... -224.30 eV/cell
N(E_F) ... 0.000 states/eV/f.u.
Volume ... 163.2 Å³/f.u.

Unit cell a=5.2007 b=6.9784 c=9.0170 alpha=90.00 beta=94.35 gamma=90.00
Fractional coordinates of all 24 atoms:
Na  0.2348  0.0023  0.3033
Na  0.2348  0.4977  0.3033
Na  0.7652  0.5023  0.6967
Na  0.7652  0.9977  0.6967
Mn  0.2294  0.7500  0.8464
Mn  0.7706  0.2500  0.1536
B  0.2798  0.7500  0.5889
B  0.7202  0.2500  0.4111
S  0.2508  0.2500  0.9265
S  0.7492  0.7500  0.0735
O  0.0460  0.7500  0.6597
O  0.1156  0.2500  0.0671
O  0.1832  0.0769  0.8389
O  0.1832  0.4231  0.8389
O  0.3135  0.7500  0.4464
O  0.4627  0.7500  0.0313
O  0.4760  0.7500  0.7088
O  0.5240  0.2500  0.2912
O  0.5373  0.2500  0.9687
O  0.6865  0.2500  0.5536
O  0.8168  0.5769  0.1611
O  0.8168  0.9231  0.1611
O  0.8844  0.7500  0.9329
O  0.9540  0.2500  0.3403


No. 2
Entry from Alexandria via LeMat-Bulk: a crystal of Na3MnSiBO7 relaxed with PBEsol (meta-GGA SCAN).

Summary:
Formation energy without anion corrections ... -2.439 eV/atom
Electronic total energy ... -247.35 eV/cell
N(E_F) ... 0.000 states/eV/f.u.
Volume ... 146.7 Å³/f.u.

Unit cell a=5.2123 b=6.3730 c=8.8418 alpha=90.00 beta=92.54 gamma=90.00
Fractional coordinates of all 26 atoms:
Na  0.2307  0.2500  0.0817
Na  0.2532  0.5101  0.7363
Na  0.2532  0.9899  0.7363
Na  0.7468  0.0101  0.2637
Na  0.7468  0.4899  0.2637
Na  0.7693  0.7500  0.9183
Mn  0.2167  0.7500  0.3326
Mn  0.7833  0.2500  0.6674
Si  0.2770  0.2500  0.4296
Si  0.7230  0.7500  0.5704
B  0.2775  0.7500  0.0686
B  0.7225  0.2500  0.9314
O  0.0387  0.7500  0.1358
O  0.1018  0.2500  0.5764
O  0.2149  0.0496  0.3170
O  0.2149  0.4504  0.3170
O  0.3145  0.7500  0.9204
O  0.4159  0.7500  0.5160
O  0.4710  0.7500  0.1843
O  0.5290  0.2500  0.8157
O  0.5841  0.2500  0.4840
O  0.6855  0.2500  0.0796
O  0.7851  0.5496  0.6830
O  0.7851  0.9504  0.6830
O  0.8982  0.7500  0.4236
O  0.9613  0.2500  0.8642